Record 1
CuCN2: optimized geometry, PBE-GGA.

abc: 3.1990 3.1990 14.0224
angles: 90.00 90.00 120.00
With the nearest neighbours (Å) after each atom.
Atoms (fractional coordinates):
Cu  0.0000  0.0000  0.0000  6 N 2.15
Cu  0.3333  0.6667  0.6667  6 N 2.15
Cu  0.6667  0.3333  0.3333  6 N 2.15
C  0.0000  0.0000  0.5000  2 N 1.24
C  0.3333  0.6667  0.1667  2 N 1.24
C  0.6667  0.3333  0.8333  2 N 1.24
N  0.0000  0.0000  0.4116  1 C 1.24
N  0.0000  0.0000  0.5884  1 C 1.24
N  0.3333  0.6667  0.0783  1 C 1.24
N  0.3333  0.6667  0.2551  1 C 1.24
N  0.6667  0.3333  0.7449  1 C 1.24
N  0.6667  0.3333  0.9217  1 C 1.24

Calculated values
The space-group type is No. 166. Its total energy is -85.2 eV/cell. For the uncorrected formation energy, the calculation gives 396.9 meV/atom.

***

Record 2
CuCN2: optimized geometry, PBE-GGA.

abc: 4.2466 4.2466 6.6956
angles: 90.00 90.00 90.00
With the nearest neighbours (Å) after each atom.
Atoms (fractional coordinates):
Cu  0.0000  0.0000  0.0000  4 N 1.99
Cu  0.0000  0.5000  0.2500  4 N 1.99
Cu  0.5000  0.0000  0.7500  4 N 1.99
Cu  0.5000  0.5000  0.5000  4 N 1.99
C  0.0000  0.0000  0.5000  4 N 1.50
C  0.0000  0.5000  0.7500  4 N 1.50
C  0.5000  0.0000  0.2500  4 N 1.50
C  0.5000  0.5000  0.0000  4 N 1.50
N  0.1551  0.2500  0.6250  2 C 1.50
N  0.2500  0.6551  0.8750  2 C 1.50
N  0.2500  0.8449  0.3750  2 C 1.50
N  0.3449  0.2500  0.1250  2 C 1.50
N  0.6551  0.7500  0.1250  2 C 1.50
N  0.7500  0.1551  0.3750  2 C 1.50
N  0.7500  0.3449  0.8750  2 C 1.50
N  0.8449  0.7500  0.6250  2 C 1.50

Calculated values
The space-group type is No. 122. Its total energy is -109.6 eV/cell. For the uncorrected formation energy, the calculation gives 641.6 meV/atom.

***

Record 3
CuCN2: optimized geometry, PBE-GGA.

abc: 2.9735 6.6435 9.5194
angles: 90.00 90.00 90.00
With the nearest neighbours (Å) after each atom.
Atoms (fractional coordinates):
Cu  0.0000  0.0000  0.0000  4 N 2.00
Cu  0.0000  0.0000  0.5000  4 N 2.00
Cu  0.5000  0.5000  0.0000  4 N 2.00
Cu  0.5000  0.5000  0.5000  4 N 2.00
C  0.0000  0.4025  0.2500  2 N 1.24
C  0.0000  0.5975  0.7500  2 N 1.24
C  0.5000  0.0975  0.7500  2 N 1.24
C  0.5000  0.9025  0.2500  2 N 1.24
N  0.0000  0.3946  0.1203  1 C 1.24
N  0.0000  0.3946  0.3797  1 C 1.24
N  0.0000  0.6054  0.6203  1 C 1.24
N  0.0000  0.6054  0.8797  1 C 1.24
N  0.5000  0.1054  0.6203  1 C 1.24
N  0.5000  0.1054  0.8797  1 C 1.24
N  0.5000  0.8946  0.1203  1 C 1.24
N  0.5000  0.8946  0.3797  1 C 1.24

Calculated values
The space-group type is No. 63. Its total energy is -113.8 eV/cell. For the uncorrected formation energy, the calculation gives 380.5 meV/atom.

***

Record 4
Nb2CuCN: optimized geometry, PBE-GGA.

abc: 4.2312 4.2312 3.5390
angles: 90.00 90.00 90.00
With the nearest neighbours (Å) after each atom.
Atoms (fractional coordinates):
Nb  0.0000  0.5000  0.0000  2 N 2.12
Nb  0.5000  0.0000  0.0000  2 N 2.12
Cu  0.0000  0.0000  0.5000  2 N 1.77
C  0.5000  0.5000  0.5000  8 Nb 2.76, 4 Cu 2.99
N  0.0000  0.0000  0.0000  2 Cu 1.77

Calculated values
The space-group type is No. 123. Its total energy is -39.2 eV/cell. For the uncorrected formation energy, the calculation gives 520.7 meV/atom.

***

Record 5
CuCNO2: optimized geometry, PBE-GGA.

abc: 4.2737 4.2737 2.4613
angles: 90.00 90.00 90.00
With the nearest neighbours (Å) after each atom.
Atoms (fractional coordinates):
Cu  0.0000  0.0000  0.0000  2 Cu 2.46, 8 O 2.47
C  0.5000  0.5000  0.5000  2 N 1.23
N  0.5000  0.5000  0.0000  2 C 1.23
O  0.0000  0.5000  0.5000  2 C 2.14
O  0.5000  0.0000  0.5000  2 C 2.14

Calculated values
The space-group type is No. 123. Its total energy is -26.3 eV/cell. For the uncorrected formation energy, the calculation gives 1052.5 meV/atom.

***

Record 6
CuCN2O: optimized geometry, PBE-GGA.

abc: 3.7122 3.7122 3.7452
angles: 90.00 90.00 90.00
With the nearest neighbours (Å) after each atom.
Atoms (fractional coordinates):
Cu  0.0000  0.0000  0.0000  4 N 1.86, 2 O 1.87
C  0.5000  0.5000  0.5000  4 O 2.62, 8 N 2.64
N  0.0000  0.5000  0.0000  2 Cu 1.86
N  0.5000  0.0000  0.0000  2 Cu 1.86
O  0.0000  0.0000  0.5000  2 Cu 1.87

Calculated values
The space-group type is No. 123. Its total energy is -20.6 eV/cell. For the uncorrected formation energy, the calculation gives 2862.3 meV/atom.

***

Record 7
CuCNO2: optimized geometry, PBE-GGA.

abc: 3.7591 3.7591 3.6218
angles: 90.00 90.00 90.00
With the nearest neighbours (Å) after each atom.
Atoms (fractional coordinates):
Cu  0.0000  0.0000  0.0000  2 N 1.81, 4 O 1.88
C  0.5000  0.5000  0.5000  8 O 2.61, 4 N 2.66
N  0.0000  0.0000  0.5000  2 Cu 1.81
O  0.0000  0.5000  0.0000  2 Cu 1.88
O  0.5000  0.0000  0.0000  2 Cu 1.88

Calculated values
The space-group type is No. 123. Its total energy is -20.5 eV/cell. For the uncorrected formation energy, the calculation gives 2212.2 meV/atom.

***

Record 8
CuCN2O: optimized geometry, PBE-GGA.

abc: 2.8744 2.8744 6.8365
angles: 90.00 90.00 90.00
With the nearest neighbours (Å) after each atom.
Atoms (fractional coordinates):
Cu  0.0000  0.0000  0.0000  4 O 2.03
C  0.5000  0.5000  0.5000  4 N 1.44
N  0.0000  0.5000  0.5000  2 C 1.44
N  0.5000  0.0000  0.5000  2 C 1.44
O  0.5000  0.5000  0.0000  4 Cu 2.03

Calculated values
The space-group type is No. 123. Its total energy is -27.5 eV/cell. For the uncorrected formation energy, the calculation gives 1477.1 meV/atom.

***

Record 9
Cu2OsCN: optimized geometry, PBE-GGA.

abc: 4.7832 4.7832 3.6551
angles: 90.00 90.00 90.00
With the nearest neighbours (Å) after each atom.
Atoms (fractional coordinates):
Cu  0.0000  0.5000  0.0000  2 Os 2.39
Cu  0.5000  0.0000  0.0000  2 Os 2.39
Os  0.0000  0.0000  0.0000  2 N 1.83
C  0.5000  0.5000  0.5000  8 Cu 3.01
N  0.0000  0.0000  0.5000  2 Os 1.83

Calculated values
The space-group type is No. 123. Its total energy is -26.6 eV/cell. For the uncorrected formation energy, the calculation gives 2078.8 meV/atom.

***

Record 10
CuPt2CN: optimized geometry, PBE-GGA.

abc: 4.7286 4.7286 3.3241
angles: 90.00 90.00 90.00
With the nearest neighbours (Å) after each atom.
Atoms (fractional coordinates):
Cu  0.0000  0.0000  0.0000  2 N 1.66
Pt  0.0000  0.5000  0.0000  2 Cu 2.36
Pt  0.5000  0.0000  0.0000  2 Cu 2.36
C  0.5000  0.5000  0.5000  8 Pt 2.89
N  0.0000  0.0000  0.5000  2 Cu 1.66

Calculated values
The space-group type is No. 123. Its total energy is -22.4 eV/cell. For the uncorrected formation energy, the calculation gives 2265.6 meV/atom.

***

Record 11
CuRe2CN: optimized geometry, PBE-GGA.

abc: 4.0325 4.0325 3.6646
angles: 90.00 90.00 90.00
With the nearest neighbours (Å) after each atom.
Atoms (fractional coordinates):
Cu  0.0000  0.0000  0.0000  2 N 1.83
Re  0.0000  0.5000  0.5000  2 N 2.02
Re  0.5000  0.0000  0.5000  2 N 2.02
C  0.5000  0.5000  0.0000  8 Re 2.72, 4 Cu 2.85
N  0.0000  0.0000  0.5000  2 Cu 1.83, 4 Re 2.02

Calculated values
The space-group type is No. 123. Its total energy is -38.7 eV/cell. For the uncorrected formation energy, the calculation gives 1563.8 meV/atom.

***

Record 12
CuCS2N: optimized geometry, PBE-GGA.

abc: 5.5460 5.5460 2.4162
angles: 90.00 90.00 90.00
With the nearest neighbours (Å) after each atom.
Atoms (fractional coordinates):
Cu  0.0000  0.0000  0.0000  2 Cu 2.42
C  0.5000  0.5000  0.5000  2 N 1.21
S  0.0000  0.5000  0.5000  2 S 2.42
S  0.5000  0.0000  0.5000  2 S 2.42
N  0.5000  0.5000  0.0000  2 C 1.21

Calculated values
The distance to the lowest polymorph of the same formula is 0.000 eV per atom. The space-group type is No. 123. Its total energy is -25.5 eV/cell. For the uncorrected formation energy, the calculation gives 873.2 meV/atom.